(1)
The following is a DFT calculation (GGA-PBE) of a relaxed BeBiTe2O8 crystal.

Its total moment is 0.00 μB/cell. The calculation puts the volume at 12.827 Å³/atom. The formation energy (no corrections) comes out at -1.060 eV/atom. As for the calculated total energy: -5.52 eV/atom. As for the density of states at the Fermi level: 1.69 states/eV/cell.

a = 4.881 Å, b = 4.882 Å, c = 6.522 Å
α = 90.00°, β = 90.00°, γ = 82.04°
Element x y z (fractional)
Be: 0.000 0.000 0.000
Bi: 0.000 0.000 0.500
Te: 0.500 0.500 0.770
Te: 0.500 0.500 0.230
O: 0.193 0.807 0.204
O: 0.682 0.682 0.000
O: 0.807 0.193 0.204
O: 0.807 0.193 0.796
O: 0.318 0.318 0.000
O: 0.193 0.807 0.796
O: 0.668 0.668 0.500
O: 0.332 0.332 0.500

---

(2)
The following is a DFT calculation (GGA-PBE) of a relaxed VPbI6 crystal.

Its total moment is 0.95 μB/cell. The calculation puts the volume at 42.011 Å³/atom. The formation energy (no corrections) comes out at -0.383 eV/atom. As for the calculated total energy: -3.15 eV/atom. As for the density of states at the Fermi level: 5.48 states/eV/cell.

a = 7.357 Å, b = 7.402 Å, c = 8.798 Å
α = 72.99°, β = 53.94°, γ = 60.20°
Each line ends with the local moment (μB).
Element x y z (fractional)
V: 0.000 0.000 0.500  1.44
Pb: 0.000 0.000 0.000  -0.01
I: 0.454 0.000 0.308  -0.11
I: 0.123 0.692 0.732  -0.06
I: 0.546 0.000 0.692  -0.11
I: 0.184 0.692 0.268  -0.06
I: 0.877 0.308 0.268  -0.06
I: 0.816 0.308 0.732  -0.06